# 1
A geometry-optimized La2YCuB structure, computed with GGA-PBEsol.

Output
VASP energy: -5.3842 eV/atom
Symmetry: P4/mmm
D(E_F): 5.49 states/eV/cell

Cell: 3.8424 5.6709 5.6709 Å, 90.00 90.00 90.00°
Fractional coordinates of all 5 atoms:
Y 0.5000 0.5000 0.5000
B 0.5000 0.0000 0.0000
Cu 0.0000 0.0000 0.0000
La 0.0000 0.0000 0.5000
La 0.0000 0.5000 0.0000

=====

# 2
A geometry-optimized LiCuB2 structure, computed with GGA-PBEsol.

Output
VASP energy: -4.5205 eV/atom
Symmetry: Fm-3m
D(E_F): 0.87 states/eV/cell

Cell: 3.5548 3.5548 3.5548 Å, 60.00 60.00 60.00°
Fractional coordinates of all 4 atoms:
B 0.2500 0.2500 0.2500
B 0.7500 0.7500 0.7500
Cu 0.5000 0.5000 0.5000
Li 0.0000 0.0000 0.0000

=====

# 3
A geometry-optimized LiCu3B structure, computed with GGA-PBEsol.

Output
VASP energy: -2.9872 eV/atom
Symmetry: Pm-3m
D(E_F): 1.84 states/eV/cell

Cell: 3.8853 3.8853 3.8853 Å, 90.00 90.00 90.00°
Fractional coordinates of all 5 atoms:
B 0.5000 0.5000 0.5000
Cu 0.0000 0.5000 0.0000
Cu 0.0000 0.0000 0.5000
Cu 0.5000 0.0000 0.0000
Li 0.0000 0.0000 0.0000

=====

# 4
A geometry-optimized LiCuBO3 structure, computed with GGA-PBEsol.

Output
Formation energy from raw total energies: -10.17 eV/f.u.
Symmetry: P-6
D(E_F): 4.91 states/eV/cell

Cell: 2.9840 7.9963 7.9963 Å, 120.00 90.00 90.00°
Fractional coordinates of all 18 atoms:
Li 0.5000 0.3920 0.0398
Li 0.5000 0.6478 0.6080
Li 0.5000 0.9602 0.3522
Cu 0.0000 0.2800 0.3185
Cu 0.0000 0.0384 0.7200
Cu 0.0000 0.6815 0.9616
B 0.5000 0.3333 0.6667
B 0.0000 0.6667 0.3333
B 0.5000 0.0000 0.0000
O 0.0000 0.5607 0.1340
O 0.5000 0.5324 0.7763
O 0.0000 0.5732 0.4393
O 0.5000 0.2237 0.7561
O 0.5000 0.2439 0.4676
O 0.5000 0.1991 0.1203
O 0.0000 0.8660 0.4268
O 0.5000 0.8797 0.0788
O 0.5000 0.9212 0.8009

=====

# 5
A geometry-optimized LiCuBO3 structure, computed with GGA-PBEsol.

Output
Formation energy from raw total energies: -10.21 eV/f.u.
Symmetry: P-1
D(E_F): 1.97 states/eV/cell

Cell: 5.2283 5.2137 5.4036 Å, 89.92 116.29 120.25°
Fractional coordinates of all 12 atoms:
Li 0.4743 0.3961 0.7160
Li 0.5257 0.6039 0.2840
Cu 0.1534 0.7788 0.7401
Cu 0.8466 0.2212 0.2599
B 0.8294 0.0831 0.7511
B 0.1706 0.9169 0.2489
O 0.0525 0.3208 0.6844
O 0.6392 0.1325 0.8400
O 0.7710 0.7949 0.7105
O 0.2290 0.2051 0.2895
O 0.3608 0.8675 0.1600
O 0.9475 0.6792 0.3156

=====

# 6
A geometry-optimized LiCuBO3 structure, computed with GGA-PBEsol.

Output
Formation energy from raw total energies: -10.16 eV/f.u.
Symmetry: Pbca
D(E_F): 15.26 states/eV/cell

Cell: 5.1042 5.1697 16.6069 Å, 90.00 90.00 90.00°
Fractional coordinates of all 48 atoms:
Li 0.2488 0.5173 0.7624
Li 0.2512 0.0173 0.7624
Li 0.7488 0.5173 0.7376
Li 0.7512 0.0173 0.7376
Li 0.2488 0.9827 0.2624
Li 0.2512 0.4827 0.2624
Li 0.7488 0.9827 0.2376
Li 0.7512 0.4827 0.2376
Cu 0.9951 0.3098 0.5682
Cu 0.5049 0.8098 0.5682
Cu 0.0049 0.8098 0.9318
Cu 0.4951 0.3098 0.9318
Cu 0.9951 0.1902 0.0682
Cu 0.5049 0.6902 0.0682
Cu 0.4951 0.1902 0.4318
Cu 0.0049 0.6902 0.4318
B 0.4884 0.2974 0.6252
B 0.0116 0.7974 0.6252
B 0.9884 0.2974 0.8748
B 0.5116 0.7974 0.8748
B 0.4884 0.2026 0.1252
B 0.0116 0.7026 0.1252
B 0.9884 0.2026 0.3748
B 0.5116 0.7026 0.3748
O 0.6673 0.4840 0.5962
O 0.8327 0.9840 0.5962
O 0.1557 0.6534 0.5676
O 0.3443 0.1534 0.5676
O 0.9628 0.2646 0.7944
O 0.5372 0.7646 0.7944
O 0.4628 0.2646 0.7056
O 0.0372 0.7646 0.7056
O 0.6557 0.6534 0.9324
O 0.8443 0.1534 0.9324
O 0.1673 0.4840 0.9038
O 0.3327 0.9840 0.9038
O 0.6673 0.0160 0.0962
O 0.8327 0.5160 0.0962
O 0.1557 0.8466 0.0676
O 0.3443 0.3466 0.0676
O 0.9628 0.2354 0.2944
O 0.5372 0.7354 0.2944
O 0.4628 0.2354 0.2056
O 0.0372 0.7354 0.2056
O 0.6557 0.8466 0.4324
O 0.8443 0.3466 0.4324
O 0.1673 0.0160 0.4038
O 0.3327 0.5160 0.4038